8
Lattice="-2.554 2.554 5.519 2.554 -2.554 5.519 2.554 2.554 -5.519" Properties=species:S:1:pos:R:3 comment="MgCS2, relaxed, DFT PBE" crystal_system=tetragonal formation_energy_uncorrected_mev_per_atom=489 relative_energy_mev_per_atom=273 magnetic_moment_mub_per_cell=0.00 pbc="T T T"
Mg 0.000 0.000 0.000
Mg 0.000 2.554 2.760
C 2.554 0.000 2.760
C 0.000 0.000 5.519
S 1.277 -0.913 4.139
S 1.641 1.277 1.380
S 1.277 3.467 -1.380
S 0.913 1.277 6.899

5
Lattice="4.319 0.000 0.000 0.000 4.319 0.000 0.000 0.000 5.022" Properties=species:S:1:pos:R:3 comment="Mg2SnCS, relaxed, DFT PBE" crystal_system=tetragonal formation_energy_uncorrected_mev_per_atom=98 magnetic_moment_mub_per_cell=0.00 pbc="T T T"
Mg 0.000 2.160 0.000
Mg 2.160 0.000 0.000
Sn 0.000 0.000 2.511
C 0.000 0.000 0.000
S 2.160 2.160 2.511

5
Lattice="5.146 0.000 0.000 0.000 5.146 0.000 0.000 0.000 4.303" Properties=species:S:1:pos:R:3 comment="Mg2TcCS, relaxed, DFT PBE" crystal_system=tetragonal formation_energy_uncorrected_mev_per_atom=1353 magnetic_moment_mub_per_cell=2.14 pbc="T T T"
Mg 0.000 2.573 0.000
Mg 2.573 0.000 0.000
Tc 0.000 0.000 0.000
C 2.573 2.573 2.151
S 0.000 0.000 2.151

5
Lattice="4.429 0.000 0.000 0.000 4.429 0.000 0.000 0.000 5.061" Properties=species:S:1:pos:R:3 comment="MgZr2CS, relaxed, DFT PBE" crystal_system=tetragonal formation_energy_uncorrected_mev_per_atom=196 magnetic_moment_mub_per_cell=0.00 pbc="T T T"
Mg 0.000 0.000 0.000
Zr 0.000 2.214 2.530
Zr 2.214 0.000 2.530
C 2.214 2.214 2.530
S 2.214 2.214 0.000

4
Lattice="0.000 3.442 3.442 3.442 0.000 3.442 3.442 3.442 0.000" Properties=species:S:1:pos:R:3 comment="MgSb2C, relaxed, DFT PBE" crystal_system=cubic formation_energy_uncorrected_mev_per_atom=1292 relative_energy_mev_per_atom=702 magnetic_moment_mub_per_cell=0.00 pbc="T T T"
Mg 0.000 0.000 0.000
Sb 1.721 1.721 1.721
Sb 5.164 5.164 5.164
C 3.442 3.442 3.442

6
Lattice="4.057 0.000 0.000 -1.773 4.539 0.000 -1.033 -2.320 7.686" Properties=species:S:1:pos:R:3 comment="MgSbC, relaxed, DFT PBE" crystal_system=triclinic formation_energy_uncorrected_mev_per_atom=275 relative_energy_mev_per_atom=93 magnetic_moment_mub_per_cell=0.00 pbc="T T T"
Mg 0.000 0.000 0.000
Mg -0.008 0.074 5.040
Sb -0.857 2.278 1.519
Sb 1.172 2.321 3.501
C 0.663 -1.622 6.243
C -0.558 1.781 6.319

8
Lattice="-3.156 3.156 4.713 3.156 -3.156 4.713 3.156 3.156 -4.713" Properties=species:S:1:pos:R:3 comment="MgSb2C, relaxed, DFT PBE" crystal_system=tetragonal formation_energy_uncorrected_mev_per_atom=590 relative_energy_mev_per_atom=0 magnetic_moment_mub_per_cell=0.00 pbc="T T T"
Mg 0.000 0.000 0.000
Mg 0.000 3.156 2.356
Sb 1.578 -1.078 3.534
Sb 2.078 1.578 1.178
Sb 1.578 4.235 -1.178
Sb 1.078 1.578 5.891
C 3.156 0.000 2.356
C 0.000 0.000 4.713

6
Lattice="3.352 0.000 0.000 -1.676 2.903 0.000 0.000 0.000 12.817" Properties=species:S:1:pos:R:3 comment="MgSbC, relaxed, DFT PBE" crystal_system=hexagonal formation_energy_uncorrected_mev_per_atom=226 relative_energy_mev_per_atom=44 magnetic_moment_mub_per_cell=0.00 pbc="T T T"
Mg 0.000 0.000 1.829
Mg 0.000 0.000 10.988
Sb 1.676 0.968 4.265
Sb 1.676 0.968 8.552
C 0.000 1.935 0.629
C 0.000 1.935 12.188

Sequential energy output: -34.23 -20.05 -20.14 -31.06 -13.89 -28.23 -33.40 -28.53 eV for the cell shown